(1)
The following is a DFT calculation (PBE) of AlCuMo2 after structural relaxation.

Cell and atoms, written as extended XYZ:
```
8
Lattice="6.9501 0.0000 0.0000 0.0000 6.9501 0.0000 3.4751 3.4751 2.6015" Properties=species:S:1:pos:R:3 pbc="T T T"
Mo 5.2625 1.7375 0.6504
Mo 1.6876 5.2126 0.6504
Mo 5.2126 5.1626 1.9512
Mo 8.6877 8.7376 1.9512
Al 3.4751 3.4751 0.0000
Al 3.4751 6.9501 1.3008
Cu 0.0000 0.0000 0.0000
Cu 6.9501 3.4751 1.3008
```

Symmetry: I-42d (122)
Formation enthalpy at 0 K (eV per atom): 0.54
Total DFT energy (no corrections) (eV/atom): -6.84

***

(2)
The following is a DFT calculation (PBE) of AlCuMo2 after structural relaxation.

Cell and atoms, written as extended XYZ:
```
4
Lattice="-8.8643 1.9807 -1.4261 -8.1751 1.2692 -4.0112 -8.9044 -0.6809 -2.1865" Properties=species:S:1:pos:R:3 pbc="T T T"
Mo -0.0832 0.0082 -0.0244
Mo -6.4127 0.6350 -1.8844
Al -12.8811 1.2755 -3.7852
Cu -19.5386 1.9348 -5.7416
```

Symmetry: R3m (160)
Formation enthalpy at 0 K (eV per atom): 0.15
Total DFT energy (no corrections) (eV/atom): -7.23

***

(3)
The following is a DFT calculation (PBE) of AlCuMo2 after structural relaxation.

Cell and atoms, written as extended XYZ:
```
4
Lattice="-5.4594 7.2640 -1.0171 -7.4076 5.3176 -0.6745 -6.2333 6.5102 1.5392" Properties=species:S:1:pos:R:3 pbc="T T T"
Mo -0.0171 0.0171 -0.0001
Mo -9.5331 9.5289 -0.0761
Al -4.7751 4.7730 -0.0381
Cu -14.3252 14.3189 -0.1143
```

Symmetry: R-3m (166)
Formation enthalpy at 0 K (eV per atom): 0.20
Total DFT energy (no corrections) (eV/atom): -7.17

***

(4)
The following is a DFT calculation (PBE) of AlCuMo after structural relaxation.

Cell and atoms, written as extended XYZ:
```
3
Lattice="-2.2726 3.1057 4.7605 -3.6663 -0.4572 4.8807 4.4600 -1.8713 -3.7521" Properties=species:S:1:pos:R:3 pbc="T T T"
Mo -3.9651 1.7683 6.4371
Al -5.8977 2.6302 9.5743
Cu -2.0149 0.8986 3.2710
```

Symmetry: I4mm (107)
Formation enthalpy at 0 K (eV per atom): -0.04
Total DFT energy (no corrections) (eV/atom): -6.26
Offset from the most stable computed form (eV per atom): 0.000

***

(5)
The following is a DFT calculation (PBE) of Al2CuMo after structural relaxation.

Cell and atoms, written as extended XYZ:
```
4
Lattice="-0.0581 1.8316 2.1114 -3.3338 0.8119 -0.7961 -1.8849 -4.2098 3.6000" Properties=species:S:1:pos:R:3 pbc="T T T"
Mo -3.1097 -1.8356 3.3577
Al -0.0159 -0.0356 0.0304
Al -0.9265 -2.0694 1.7696
Cu -2.1672 0.2693 1.5577
```

Symmetry: Pmmm (47)
Formation enthalpy at 0 K (eV per atom): -0.14
Total DFT energy (no corrections) (eV/atom): -5.74
Offset from the most stable computed form (eV per atom): 0.095

***

(6)
The following is a DFT calculation (PBE) of AlCuMo2 after structural relaxation.

Cell and atoms, written as extended XYZ:
```
4
Lattice="-0.8451 0.9907 2.3503 -1.3714 -2.2895 0.3113 6.4171 -3.3388 3.7148" Properties=species:S:1:pos:R:3 pbc="T T T"
Mo 6.3957 -3.3277 3.7025
Mo 3.2299 -1.6805 1.8698
Al 0.4960 -1.4841 2.2595
Cu 3.7046 -3.1535 4.1169
```

Symmetry: Cmmm (65)
Formation enthalpy at 0 K (eV per atom): 0.04
Total DFT energy (no corrections) (eV/atom): -7.33

***

(7)
The following is a DFT calculation (PBE) of AlCuMo2 after structural relaxation.

Cell and atoms, written as extended XYZ:
```
4
Lattice="4.9764 -0.0185 0.0000 2.1904 4.4685 0.0000 -3.5834 -2.2250 2.6408" Properties=species:S:1:pos:R:3 pbc="T T T"
Mo 0.0000 0.0000 0.0000
Mo 3.5834 2.2250 0.0000
Al 1.0952 2.2343 1.3204
Cu 2.4882 -0.0092 1.3204
```

Symmetry: I4/mmm (139)
Formation enthalpy at 0 K (eV per atom): 0.00
Total DFT energy (no corrections) (eV/atom): -7.38

***

(8)
The following is a DFT calculation (PBE) of AlCuMo2 after structural relaxation.

Cell and atoms, written as extended XYZ:
```
4
Lattice="4.2374 0.0000 0.0000 0.0000 3.7236 0.0000 0.0000 0.0000 3.7236" Properties=species:S:1:pos:R:3 pbc="T T T"
Mo 0.0000 0.0000 0.0000
Mo 0.0000 1.8618 1.8618
Al 2.1187 1.8618 0.0000
Cu 2.1187 0.0000 1.8618
```

Symmetry: P4/mmm (123)
Formation enthalpy at 0 K (eV per atom): -0.02
Total DFT energy (no corrections) (eV/atom): -7.39

***

Question: Among the records above, which one has the highest total DFT energy (no corrections)?
Answer: Al2CuMo